A relaxed structure of Mg2Cu2Ni. Source: Alexandria, functional GGA-PBE.

E above lowest polymorph	0.202	eV per atom
VASP energy	-3.239	eV/atom
symmetry	No. 127
energy of formation from the pure elements	0.194	eV/atom

Cell lengths 7.2214, 7.2214, 2.8892 Å; angles 90.00, 90.00, 90.00 degrees
Fractional positions:
Ni (0.0000, 0.0000, 0.0000)
Ni (0.5000, 0.5000, 0.0000)
Mg (0.3345, 0.8345, 0.0000)
Mg (0.8345, 0.6655, 0.0000)
Mg (0.6655, 0.1655, 0.0000)
Mg (0.1655, 0.3345, 0.0000)
Cu (0.1313, 0.6313, 0.5000)
Cu (0.6313, 0.8687, 0.5000)
Cu (0.8687, 0.3687, 0.5000)
Cu (0.3687, 0.1313, 0.5000)

---

A relaxed structure of TiTc2P. Source: Alexandria, functional GGA-PBE.

VASP energy	-9.005	eV/atom
symmetry	No. 123
energy of formation from the pure elements	-0.496	eV/atom

Cell lengths 3.1258, 4.1777, 4.1777 Å; angles 90.00, 90.00, 90.00 degrees
Fractional positions:
P (0.5000, 0.5000, 0.5000)
Tc (0.0000, 0.0000, 0.5000)
Tc (0.0000, 0.5000, 0.0000)
Ti (0.5000, 0.0000, 0.0000)

---

A relaxed structure of K2SbSe. Source: Alexandria, functional GGA-PBE.

E above lowest polymorph	0.227	eV per atom
VASP energy	-2.741	eV/atom
symmetry	No. 119

Cell lengths 6.4593, 6.4593, 6.4593 Å; angles 135.36, 135.36, 64.97 degrees
Last column: magnetic moment on the atom in μB.
Fractional positions:
K (0.0000, 0.0000, 0.0000)  0.02
K (0.2500, 0.7500, 0.5000)  0.01
Sb (0.5000, 0.5000, 0.0000)  0.24
Se (0.7500, 0.2500, 0.5000)  0.11

---

What did the first record say?
A relaxed structure of Mg2Cu2Ni. Source: Alexandria, functional GGA-PBE.

E above lowest polymorph	0.202	eV per atom
VASP energy	-3.239	eV/atom
symmetry	No. 127
energy of formation from the pure elements	0.194	eV/atom

Cell lengths 7.2214, 7.2214, 2.8892 Å; angles 90.00, 90.00, 90.00 degrees
Fractional positions:
Ni (0.0000, 0.0000, 0.0000)
Ni (0.5000, 0.5000, 0.0000)
Mg (0.3345, 0.8345, 0.0000)
Mg (0.8345, 0.6655, 0.0000)
Mg (0.6655, 0.1655, 0.0000)
Mg (0.1655, 0.3345, 0.0000)
Cu (0.1313, 0.6313, 0.5000)
Cu (0.6313, 0.8687, 0.5000)
Cu (0.8687, 0.3687, 0.5000)
Cu (0.3687, 0.1313, 0.5000)

---

Question: VASP energy of number 1 (Mg2Cu2Ni)?
Answer: -3.239 eV/atom

---

What did the second record say?
A relaxed structure of TiTc2P. Source: Alexandria, functional GGA-PBE.

VASP energy	-9.005	eV/atom
symmetry	No. 123
energy of formation from the pure elements	-0.496	eV/atom

Cell lengths 3.1258, 4.1777, 4.1777 Å; angles 90.00, 90.00, 90.00 degrees
Fractional positions:
P (0.5000, 0.5000, 0.5000)
Tc (0.0000, 0.0000, 0.5000)
Tc (0.0000, 0.5000, 0.0000)
Ti (0.5000, 0.0000, 0.0000)

---

Question: Look up the VASP energy of the second one.
Answer: -9.005 eV/atom